Entry 1:
A relaxed Ca4PrHo3Te8 crystal, computed with GGA-PBE.

abc: 8.946 8.946 8.946
angles: 59.06 59.06 59.06
Fractional positions:
Ca: 0.000 0.000 0.000
Ca: 0.000 0.500 0.500
Ca: 0.500 0.000 0.500
Ca: 0.500 0.500 0.000
Pr: 0.500 0.500 0.500
Ho: 0.000 0.000 0.500
Ho: 0.000 0.500 0.000
Ho: 0.500 0.000 0.000
Te: 0.242 0.753 0.753
Te: 0.247 0.247 0.758
Te: 0.247 0.758 0.247
Te: 0.248 0.248 0.248
Te: 0.752 0.752 0.752
Te: 0.753 0.242 0.753
Te: 0.753 0.753 0.242
Te: 0.758 0.247 0.247

Output
**Total magnetic moment**: 0.00 μB/atom
**E_form (uncorrected)**: -1456 meV/atom


Entry 2:
A relaxed BaSr7Ti8O24 crystal, computed with GGA-PBE.

abc: 7.911 7.911 7.911
angles: 90.00 90.00 90.00
Fractional positions:
Ba: 0.000 0.000 0.000
Sr: 0.000 0.000 0.500
Sr: 0.000 0.500 0.000
Sr: 0.000 0.500 0.500
Sr: 0.500 0.000 0.000
Sr: 0.500 0.000 0.500
Sr: 0.500 0.500 0.000
Sr: 0.500 0.500 0.500
Ti: 0.251 0.251 0.251
Ti: 0.251 0.251 0.749
Ti: 0.251 0.749 0.251
Ti: 0.251 0.749 0.749
Ti: 0.749 0.251 0.251
Ti: 0.749 0.251 0.749
Ti: 0.749 0.749 0.251
Ti: 0.749 0.749 0.749
O: 0.000 0.253 0.253
O: 0.000 0.253 0.747
O: 0.000 0.747 0.253
O: 0.000 0.747 0.747
O: 0.251 0.251 0.500
O: 0.251 0.500 0.251
O: 0.251 0.500 0.749
O: 0.251 0.749 0.500
O: 0.253 0.000 0.253
O: 0.253 0.000 0.747
O: 0.253 0.253 0.000
O: 0.253 0.747 0.000
O: 0.500 0.251 0.251
O: 0.500 0.251 0.749
O: 0.500 0.749 0.251
O: 0.500 0.749 0.749
O: 0.747 0.000 0.253
O: 0.747 0.000 0.747
O: 0.747 0.253 0.000
O: 0.747 0.747 0.000
O: 0.749 0.251 0.500
O: 0.749 0.500 0.251
O: 0.749 0.500 0.749
O: 0.749 0.749 0.500

Output
**Total magnetic moment**: 0.00 μB/atom
**E_form (uncorrected)**: -3123 meV/atom


Entry 3:
A relaxed Ac3SmTl crystal, computed with GGA-PBE.

abc: 3.968 12.377 8.678
angles: 90.00 103.20 90.00
Fractional positions:
Ac: 0.138 0.014 0.277
Ac: 0.138 0.486 0.277
Ac: 0.298 0.250 0.596
Ac: 0.702 0.750 0.404
Ac: 0.862 0.514 0.723
Ac: 0.862 0.986 0.723
Sm: 0.018 0.750 0.034
Sm: 0.982 0.250 0.966
Tl: 0.370 0.750 0.739
Tl: 0.630 0.250 0.261

Output
**Total magnetic moment**: 0.00 μB/atom
**ΔH_f (0 K)**: 0.16 eV/f.u.
**Distance to the lowest polymorph of the same formula**: 101 meV per atom